Below is a relaxed structure of Li2ScAl, with properties calculated at the PBE level.

Results
- Total DFT energy (no corrections): -14.03 eV/f.u.
- DOS(E_F): 4.6 states/eV per cell

Lattice parameters (Å, degrees): 4.0715 4.0715 4.7008 90.00 90.00 90.00
Fractional coordinates of all 4 atoms:
Li1 0.0000 0.5000 0.0000
Li2 0.5000 0.0000 0.0000
Sc1 0.0000 0.0000 0.5000
Al1 0.5000 0.5000 0.5000

Below is a relaxed structure of LiSc3Al12, with properties calculated at the PBE level.

Results
- Total DFT energy (no corrections): -71.62 eV/f.u.
- DOS(E_F): 5.0 states/eV per cell

Lattice parameters (Å, degrees): 4.0866 4.0866 16.3199 90.00 90.00 90.00
Fractional coordinates of all 16 atoms:
Li1 0.0000 0.0000 0.0000
Sc1 0.0000 0.0000 0.2478
Sc2 0.0000 0.0000 0.5000
Sc3 0.0000 0.0000 0.7522
Al1 0.0000 0.5000 0.1191
Al2 0.0000 0.5000 0.3733
Al3 0.0000 0.5000 0.6267
Al4 0.0000 0.5000 0.8809
Al5 0.5000 0.0000 0.1191
Al6 0.5000 0.0000 0.3733
Al7 0.5000 0.0000 0.6267
Al8 0.5000 0.0000 0.8809
Al9 0.5000 0.5000 0.0000
Al10 0.5000 0.5000 0.2475
Al11 0.5000 0.5000 0.5000
Al12 0.5000 0.5000 0.7525

Below is a relaxed structure of Li2ScAl, with properties calculated at the PBE level.

Results
- Total DFT energy (no corrections): -13.61 eV/f.u.
- DOS(E_F): 4.1 states/eV per cell

Lattice parameters (Å, degrees): 2.9973 2.9973 8.2904 90.00 90.00 90.10
Fractional coordinates of all 4 atoms:
Li1 0.0000 0.0000 0.2138
Li2 0.0000 0.0000 0.7862
Sc1 0.5000 0.5000 0.5000
Al1 0.5000 0.5000 0.0000

Below is a relaxed structure of LiScAl, with properties calculated at the PBE level.

Results
- Total DFT energy (no corrections): -11.96 eV/f.u.
- DOS(E_F): 3.2 states/eV per cell

Lattice parameters (Å, degrees): 3.0853 3.0853 7.3368 90.00 90.00 120.00
Fractional coordinates of all 3 atoms:
Li1 0.0000 0.0000 0.0000
Sc1 0.6667 0.3333 0.3674
Al1 0.3333 0.6667 0.6911

Below is a relaxed structure of Li3ScAl3, with properties calculated at the PBE level.

Results
- Total DFT energy (no corrections): -19.02 eV/f.u.
- DOS(E_F): 7.3 states/eV per cell

Lattice parameters (Å, degrees): 6.6729 6.6729 6.6729 90.00 90.00 90.00
Fractional coordinates of all 14 atoms:
Li1 0.0000 0.2500 0.5000
Li2 0.0000 0.7500 0.5000
Li3 0.2500 0.5000 0.0000
Li4 0.5000 0.0000 0.2500
Li5 0.5000 0.0000 0.7500
Li6 0.7500 0.5000 0.0000
Sc1 0.0000 0.0000 0.0000
Sc2 0.5000 0.5000 0.5000
Al1 0.0000 0.5000 0.2500
Al2 0.0000 0.5000 0.7500
Al3 0.2500 0.0000 0.5000
Al4 0.5000 0.2500 0.0000
Al5 0.5000 0.7500 0.0000
Al6 0.7500 0.0000 0.5000

Below is a relaxed structure of LiSc2Al, with properties calculated at the PBE level.

Results
- Total DFT energy (no corrections): -18.29 eV/f.u.
- DOS(E_F): 3.6 states/eV per cell

Lattice parameters (Å, degrees): 10.2918 10.2918 10.2918 17.46 17.46 17.46
Fractional coordinates of all 4 atoms:
Li1 0.0000 0.0000 0.0000
Sc1 0.5116 0.5116 0.5116
Sc2 0.7581 0.7581 0.7581
Al1 0.2582 0.2582 0.2582

Below is a relaxed structure of LiScAl, with properties calculated at the PBE level.

Results
- Total DFT energy (no corrections): -12.64 eV/f.u.
- DOS(E_F): 4.7 states/eV per cell

Lattice parameters (Å, degrees): 4.8372 3.1640 7.9074 90.00 106.79 90.00
Fractional coordinates of all 6 atoms:
Li1 0.0000 0.0000 0.0000
Li2 0.5000 0.5000 0.0000
Sc1 0.1832 0.5000 0.3608
Sc2 0.8168 0.5000 0.6392
Al1 0.3480 0.0000 0.7062
Al2 0.6520 0.0000 0.2938

Below is a relaxed structure of LiSc4Al2, with properties calculated at the PBE level.

Results
- Total DFT energy (no corrections): -35.77 eV/f.u.
- DOS(E_F): 9.7 states/eV per cell

Lattice parameters (Å, degrees): 8.1264 8.1264 8.1264 34.49 34.49 34.49
Fractional coordinates of all 7 atoms:
Li1 0.0000 0.0000 0.0000
Sc1 0.1310 0.1310 0.1310
Sc2 0.3857 0.3857 0.3857
Sc3 0.6143 0.6143 0.6143
Sc4 0.8690 0.8690 0.8690
Al1 0.2565 0.2565 0.2565
Al2 0.7435 0.7435 0.7435

Below is a relaxed structure of LiScAl, with properties calculated at the PBE level.

Results
- Total DFT energy (no corrections): -12.62 eV/f.u.
- DOS(E_F): 1.7 states/eV per cell

Lattice parameters (Å, degrees): 4.6482 4.6482 3.0411 90.00 90.00 120.00
Fractional coordinates of all 3 atoms:
Li1 0.0000 0.0000 0.0000
Sc1 0.6667 0.3333 0.5000
Al1 0.3333 0.6667 0.0000

Below is a relaxed structure of LiSc2Al, with properties calculated at the PBE level.

Results
- Total DFT energy (no corrections): -18.15 eV/f.u.
- DOS(E_F): 2.9 states/eV per cell

Lattice parameters (Å, degrees): 10.6348 10.6348 10.6348 17.19 17.19 17.19
Fractional coordinates of all 4 atoms:
Li1 0.0000 0.0000 0.0000
Sc1 0.0952 0.0952 0.0952
Sc2 0.9048 0.9048 0.9048
Al1 0.5000 0.5000 0.5000

Below is a relaxed structure of Li2ScAl, with properties calculated at the PBE level.

Results
- Total DFT energy (no corrections): -13.78 eV/f.u.
- DOS(E_F): 2.5 states/eV per cell

Lattice parameters (Å, degrees): 2.8866 4.3141 5.9755 90.00 90.00 90.00
Fractional coordinates of all 4 atoms:
Li1 0.0000 0.0000 0.2178
Li2 0.0000 0.0000 0.7822
Sc1 0.5000 0.5000 0.5000
Al1 0.5000 0.5000 0.0000

Below is a relaxed structure of LiSc2Al, with properties calculated at the PBE level.

Results
- Total DFT energy (no corrections): -18.80 eV/f.u.
- DOS(E_F): 4.3 states/eV per cell

Lattice parameters (Å, degrees): 5.7827 5.7827 4.8525 114.74 114.74 33.49
Fractional coordinates of all 4 atoms:
Li1 0.0000 0.0000 0.0000
Sc1 0.5396 0.5396 0.5393
Sc2 0.7656 0.7656 0.2647
Al1 0.2962 0.2962 0.7950

Below is a relaxed structure of LiScAl, with properties calculated at the PBE level.

Results
- Total DFT energy (no corrections): -11.96 eV/f.u.
- DOS(E_F): 2.0 states/eV per cell

Lattice parameters (Å, degrees): 3.9528 3.9528 3.9528 77.19 77.19 77.19
Fractional coordinates of all 3 atoms:
Li1 0.0000 0.0000 0.0000
Sc1 0.6491 0.6491 0.6491
Al1 0.3009 0.3009 0.3009

Below is a relaxed structure of LiSc5Al4, with properties calculated at the PBE level.

Results
- Total DFT energy (no corrections): -51.99 eV/f.u.
- DOS(E_F): 4.2 states/eV per cell

Lattice parameters (Å, degrees): 3.3419 3.3419 17.5849 90.00 90.00 90.00
Fractional coordinates of all 10 atoms:
Li1 0.0000 0.0000 0.0000
Sc1 0.5000 0.5000 0.1084
Sc2 0.5000 0.5000 0.3044
Sc3 0.5000 0.5000 0.5000
Sc4 0.5000 0.5000 0.6956
Sc5 0.5000 0.5000 0.8916
Al1 0.0000 0.0000 0.2040
Al2 0.0000 0.0000 0.4021
Al3 0.0000 0.0000 0.5979
Al4 0.0000 0.0000 0.7960

Below is a relaxed structure of LiSc2Al, with properties calculated at the PBE level.

Results
- Total DFT energy (no corrections): -18.82 eV/f.u.
- DOS(E_F): 3.9 states/eV per cell

Lattice parameters (Å, degrees): 3.0802 4.1608 6.3863 90.00 90.08 90.00
Fractional coordinates of all 4 atoms:
Li1 0.0000 0.0000 0.0000
Sc1 0.4993 0.5000 0.2641
Sc2 0.5007 0.5000 0.7359
Al1 0.0000 0.0000 0.5000

Below is a relaxed structure of Li2ScAl, with properties calculated at the PBE level.

Results
- Total DFT energy (no corrections): -14.06 eV/f.u.
- DOS(E_F): 3.3 states/eV per cell

Lattice parameters (Å, degrees): 2.9213 4.3924 6.1019 90.00 90.00 90.00
Fractional coordinates of all 4 atoms:
Li1 0.0000 0.0000 0.0000
Li2 0.5000 0.5000 0.2408
Sc1 0.0000 0.0000 0.5356
Al1 0.5000 0.5000 0.7494

Below is a relaxed structure of LiSc2Al, with properties calculated at the PBE level.

Results
- Total DFT energy (no corrections): -18.39 eV/f.u.
- DOS(E_F): 4.2 states/eV per cell

Lattice parameters (Å, degrees): 10.0454 10.0454 10.0454 18.37 18.37 18.37
Fractional coordinates of all 4 atoms:
Li1 0.0000 0.0000 0.0000
Sc1 0.2432 0.2432 0.2432
Sc2 0.7568 0.7568 0.7568
Al1 0.5000 0.5000 0.5000

Below is a relaxed structure of LiSc4Al3, with properties calculated at the PBE level.

Results
- Total DFT energy (no corrections): -41.27 eV/f.u.
- DOS(E_F): 5.9 states/eV per cell

Lattice parameters (Å, degrees): 8.3403 8.3403 8.3403 33.43 33.43 33.43
Fractional coordinates of all 8 atoms:
Li1 0.0000 0.0000 0.0000
Sc1 0.1244 0.1244 0.1244
Sc2 0.3750 0.3750 0.3750
Sc3 0.6250 0.6250 0.6250
Sc4 0.8756 0.8756 0.8756
Al1 0.2524 0.2524 0.2524
Al2 0.5000 0.5000 0.5000
Al3 0.7476 0.7476 0.7476

Below is a relaxed structure of Li2ScAl, with properties calculated at the PBE level.

Results
- Total DFT energy (no corrections): -13.95 eV/f.u.
- DOS(E_F): 2.7 states/eV per cell

Lattice parameters (Å, degrees): 5.9138 5.9138 3.0343 103.67 103.67 121.38
Fractional coordinates of all 4 atoms:
Li1 0.0000 0.5000 0.0000
Li2 0.5000 0.0000 0.0000
Sc1 0.0000 0.0000 0.5000
Al1 0.5000 0.5000 0.5000

Below is a relaxed structure of Li2ScAl, with properties calculated at the PBE level.

Results
- Total DFT energy (no corrections): -13.50 eV/f.u.
- DOS(E_F): 7.9 states/eV per cell

Lattice parameters (Å, degrees): 10.5733 10.5733 10.5733 158.20 158.20 31.02
Fractional coordinates of all 8 atoms:
Li1 0.0796 0.6250 0.9546
Li2 0.3750 0.3296 0.4546
Li3 0.6704 0.1250 0.0454
Li4 0.8750 0.9204 0.5454
Sc1 0.2500 0.7500 0.5000
Sc2 0.5000 0.5000 0.0000
Al1 0.0000 0.0000 0.0000
Al2 0.7500 0.2500 0.5000